# BaRu2WO8

An optimized crystal structure of BaRu2WO8 (PBE with a Hubbard U, the Alexandria database).

Magnetic moment ... 0.00 μB/f.u.
Final energy ... -0.5110 Ry per atom

Cell lengths 5.6141, 5.6141, 7.3934 Å; angles 90.00, 90.00, 120.00 degrees
With the nearest neighbours (Å) after each atom.
Positions (direct):
Ba (0.0000, 0.0000, 0.0000)  12 O 2.93-3.24
Ru (0.3333, 0.6667, 0.7501)  4 O 1.77-1.91
Ru (0.6667, 0.3333, 0.2499)  4 O 1.77-1.91
W (0.0000, 0.0000, 0.5000)  6 O 1.96
O (0.0825, 0.3068, 0.6631)  1 Ru 1.91, 1 W 1.96
O (0.2243, 0.9175, 0.6631)  1 Ru 1.91, 1 W 1.96
O (0.3068, 0.2243, 0.3369)  1 Ru 1.91, 1 W 1.96
O (0.3333, 0.6667, 0.9900)  1 Ru 1.77
O (0.6667, 0.3333, 0.0100)  1 Ru 1.77
O (0.6932, 0.7757, 0.6631)  1 Ru 1.91, 1 W 1.96
O (0.7757, 0.0825, 0.3369)  1 Ru 1.91, 1 W 1.96
O (0.9175, 0.6932, 0.3369)  1 Ru 1.91, 1 W 1.96